Entry 1:
DFT (PBE) results for an optimized crystal structure of TaNiPt2.

abc: 4.781 4.781 4.787
angles: 100.50 100.50 34.23
Element x y z (fractional)
Ta 0.000 0.000 0.000
Ni 0.255 0.255 0.748
Pt 0.509 0.509 0.519
Pt 0.754 0.754 0.239

## Properties
**DFT formation energy**: -0.4211 eV/atom
**DOS(E_F)**: 4.12 states/eV per cell

=====

Entry 2:
DFT (PBE) results for an optimized crystal structure of PuGaSb.

abc: 6.670 4.452 9.822
angles: 90.00 90.00 90.00
Element x y z (fractional)
Pu 0.013 0.250 0.215
Pu 0.487 0.750 0.715
Pu 0.513 0.250 0.285
Pu 0.987 0.750 0.785
Ga 0.209 0.250 0.605
Ga 0.291 0.750 0.105
Ga 0.709 0.250 0.895
Ga 0.791 0.750 0.395
Sb 0.230 0.750 0.423
Sb 0.270 0.250 0.923
Sb 0.730 0.750 0.077
Sb 0.770 0.250 0.577

## Properties
**Relative energy among the computed polymorphs**: 0 meV per atom
**DOS(E_F)**: 28.66 states/eV per cell
**ΔE_f (raw)**: -0.365 eV/atom

=====

Entry 3:
DFT (PBE) results for an optimized crystal structure of Mg2GaCuBi.

abc: 5.032 5.032 4.573
angles: 90.00 90.00 90.00
Element x y z (fractional)
Mg 0.000 0.500 0.000
Mg 0.500 0.000 0.000
Ga 0.000 0.000 0.500
Cu 0.000 0.000 0.000
Bi 0.500 0.500 0.500

## Properties
**DFT formation energy**: 0.0301 eV/atom
**DOS(E_F)**: 2.21 states/eV per cell

=====

Entry 4:
DFT (PBE) results for an optimized crystal structure of MnCo2Rh.

abc: 2.589 2.589 8.224
angles: 90.00 90.00 113.65
Element x y z (fractional)
Mn 0.000 0.000 0.000
Co 0.000 0.000 0.525
Co 0.500 0.500 0.759
Rh 0.500 0.500 0.261

## Properties
**DFT formation energy**: 0.1774 eV/atom
**DOS(E_F)**: 5.46 states/eV per cell